Here is crystalline NaPm2SiO5 at its relaxed geometry from Alexandria. Energies are from PBE-GGA.

Cell lengths 6.788, 6.788, 5.401 Å; angles 90.00, 90.00, 90.00 degrees
Fractional positions:
Na  0.000  0.000  0.000
Na  0.500  0.500  0.000
Pm  0.179  0.321  0.500
Pm  0.321  0.821  0.500
Pm  0.679  0.179  0.500
Pm  0.821  0.679  0.500
Si  0.000  0.500  0.000
Si  0.500  0.000  0.000
O  0.000  0.000  0.500
O  0.125  0.625  0.230
O  0.125  0.625  0.770
O  0.375  0.125  0.230
O  0.375  0.125  0.770
O  0.500  0.500  0.500
O  0.625  0.875  0.230
O  0.625  0.875  0.770
O  0.875  0.375  0.230
O  0.875  0.375  0.770

symmetry = P4/mbm
calculated density = 5.62 g/cm³
energy relative to the elements, uncorrected = -23.1 eV per formula unit
crystal system = tetragonal